Record 1
Material: TbGdZrIn
Method: DFT, GGA-PBE
State: optimized geometry

## Properties
Total moment (Bohr magnetons per cell): 9.67
Space-group type: No. 216
Energy relative to the elements (eV/atom): -0.081

POSCAR file:
```
TbGdZrIn
1.0
0.0000 3.7951 3.7951
3.7951 0.0000 3.7951
3.7951 3.7951 0.0000
Tb Gd Zr In
1 1 1 1
Cartesian
0.0000 0.0000 0.0000 Tb
3.7951 3.7951 3.7951 Gd
1.8976 1.8976 1.8976 Zr
5.6927 5.6927 5.6927 In
```

Record 2
Material: CsZnIn2Pt
Method: DFT, GGA-PBE
State: optimized geometry

## Properties
Total moment (Bohr magnetons per cell): 0.00
Space-group type: No. 123
Energy relative to the elements (eV/atom): -0.200

POSCAR file:
```
CsZnIn2Pt
1.0
5.3234 0.0000 0.0000
0.0000 5.3234 0.0000
0.0000 0.0000 5.1507
Cs Zn In Pt
1 1 2 1
Cartesian
0.0000 0.0000 0.0000 Cs
2.6617 2.6617 0.0000 Zn
0.0000 2.6617 2.5754 In
2.6617 0.0000 2.5754 In
2.6617 2.6617 2.5754 Pt
```

Number 1: electronic total energy -7.5805 eV/atom. Number 2: electronic total energy -2.9289 eV/atom.